! TmGe2Rh4 PBE-GGA relaxed; values from VASP
&SYSTEM
  ibrav = 0, nat = 14, ntyp = 3
/
ATOMIC_SPECIES
Rh 102.91 Rh.upf
Ge 72.64 Ge.upf
Tm 168.93 Tm.upf
CELL_PARAMETERS angstrom
5.420 0.000 0.000
0.000 7.703 -3.565
0.000 -1.779 6.261
ATOMIC_POSITIONS angstrom
Rh 0.032 2.422 -1.121
Rh 2.678 6.274 -2.903
Rh 1.355 6.723 -0.392
Rh 4.065 -0.799 3.088
Rh 4.065 3.053 1.306
Rh 2.742 1.430 -0.662
Rh 1.355 2.871 1.390
Rh 5.388 5.282 -2.444
Ge 0.000 4.631 -0.099
Ge 2.710 5.145 1.013
Ge 2.710 0.779 1.683
Ge 0.000 1.294 2.796
Tm 0.000 0.000 0.000
Tm 2.710 3.852 -1.782
! * excess energy over the best structure of this formula in the dataset: 1.24 eV per formula unit
! * calculated formation energy: -4.2 eV per formula unit